{"formula": "La2P2N", "functional": "PBE-GGA", "state": "optimized geometry", "lattice": [[-0.695, 0.003, -7.353], [-7.353, -0.034, 0.695], [-0.019, 4.028, 0.003]], "species": ["N", "N", "P", "P", "P", "P", "La", "La", "La", "La"], "frac_coords": [[0.000, 0.000, 0.000], [0.500, 0.500, 0.000], [0.156, 0.344, 0.000], [0.844, 0.656, 0.000], [0.656, 0.156, 0.000], [0.344, 0.844, 0.000], [0.660, 0.840, 0.500], [0.840, 0.340, 0.500], [0.160, 0.660, 0.500], [0.340, 0.160, 0.500]], "vol_a3_per_cell": 219.73, "e_tot_ev_per_atom": -6.04, "e_above_lowest_polymorph_ev_per_fu": 0.60, "dos_ef_per_ev_cell": 4.29}